Density functional theory data (PBE) for crystalline SrPm3Sm2Se6 at its relaxed geometry.

CIF file:
```
data_SrPm3Sm2Se6
_chemical_formula_sum 'Sr2 Pm6 Sm4 Se12'
_space_group_name_H-M_alt 'C 1 2/m 1'
_space_group_IT_number 12
_cell_length_a 7.2909
_cell_length_b 12.6516
_cell_length_c 7.3298
_cell_angle_alpha 90.00
_cell_angle_beta 109.35
_cell_angle_gamma 90.00
loop_
_space_group_symop_operation_xyz
'x,y,z'
'-x,-y,-z'
'-x,y,-z'
'x,-y,z'
'x+1/2,y+1/2,z'
'-x+1/2,-y+1/2,-z'
'-x+1/2,y+1/2,-z'
'x+1/2,-y+1/2,z'
loop_
_atom_site_label
_atom_site_type_symbol
_atom_site_fract_x
_atom_site_fract_y
_atom_site_fract_z
_atom_site_occupancy
Sr1 Sr 0.0000 0.0000 0.0000 1
Pm1 Pm 0.0000 0.1631 0.5000 1
Pm2 Pm 0.0000 0.5000 0.5000 1
Sm1 Sm 0.0000 0.3329 0.0000 1
Se1 Se 0.2441 0.5000 0.2472 1
Se2 Se 0.2465 0.3309 0.7469 1
```

Calculated values
**Magnetization**: 0.00 μB/cell


Density functional theory data (PBE) for crystalline Sr2PmSmSe4 at its relaxed geometry.

CIF file:
```
data_Sr2PmSmSe4
_chemical_formula_sum 'Sr2 Pm1 Sm1 Se4'
_space_group_name_H-M_alt 'P 1 2/m 1'
_space_group_IT_number 10
_cell_length_a 7.3781
_cell_length_b 4.2655
_cell_length_c 7.5576
_cell_angle_alpha 90.00
_cell_angle_beta 109.03
_cell_angle_gamma 90.00
loop_
_space_group_symop_operation_xyz
'x,y,z'
'-x,-y,-z'
'-x,y,-z'
'x,-y,z'
loop_
_atom_site_label
_atom_site_type_symbol
_atom_site_fract_x
_atom_site_fract_y
_atom_site_fract_z
_atom_site_occupancy
Sr1 Sr 0.0000 0.0000 0.0000 1
Sr2 Sr 0.5000 0.5000 0.0000 1
Pm1 Pm 0.0000 0.5000 0.5000 1
Sm1 Sm 0.5000 0.0000 0.5000 1
Se1 Se 0.2474 0.0000 0.7386 1
Se2 Se 0.2549 0.5000 0.2621 1
```

Calculated values
**Magnetization**: 0.00 μB/cell


Density functional theory data (PBE) for crystalline SrPmSm2Se4 at its relaxed geometry.

CIF file:
```
data_SrPmSm2Se4
_chemical_formula_sum 'Sr1 Pm1 Sm2 Se4'
_space_group_name_H-M_alt 'P 1 2/m 1'
_space_group_IT_number 10
_cell_length_a 7.3440
_cell_length_b 4.2085
_cell_length_c 7.3479
_cell_angle_alpha 90.00
_cell_angle_beta 109.07
_cell_angle_gamma 90.00
loop_
_space_group_symop_operation_xyz
'x,y,z'
'-x,-y,-z'
'-x,y,-z'
'x,-y,z'
loop_
_atom_site_label
_atom_site_type_symbol
_atom_site_fract_x
_atom_site_fract_y
_atom_site_fract_z
_atom_site_occupancy
Sr1 Sr 0.0000 0.0000 0.0000 1
Pm1 Pm 0.0000 0.5000 0.5000 1
Sm1 Sm 0.5000 0.0000 0.5000 1
Sm2 Sm 0.5000 0.5000 0.0000 1
Se1 Se 0.2543 0.0000 0.7485 1
Se2 Se 0.2579 0.5000 0.2564 1
```

Calculated values
**Magnetization**: 0.00 μB/cell


Density functional theory data (PBE) for crystalline Sr3PmSm2Se6 at its relaxed geometry.

CIF file:
```
data_Sr3PmSm2Se6
_chemical_formula_sum 'Sr6 Pm2 Sm4 Se12'
_space_group_name_H-M_alt 'C 1 2/m 1'
_space_group_IT_number 12
_cell_length_a 7.3855
_cell_length_b 12.7792
_cell_length_c 7.5495
_cell_angle_alpha 90.00
_cell_angle_beta 109.05
_cell_angle_gamma 90.00
loop_
_space_group_symop_operation_xyz
'x,y,z'
'-x,-y,-z'
'-x,y,-z'
'x,-y,z'
'x+1/2,y+1/2,z'
'-x+1/2,-y+1/2,-z'
'-x+1/2,y+1/2,-z'
'x+1/2,-y+1/2,z'
loop_
_atom_site_label
_atom_site_type_symbol
_atom_site_fract_x
_atom_site_fract_y
_atom_site_fract_z
_atom_site_occupancy
Sr1 Sr 0.0000 0.0000 0.0000 1
Sr2 Sr 0.0000 0.3337 0.0000 1
Pm1 Pm 0.0000 0.5000 0.5000 1
Sm1 Sm 0.0000 0.1667 0.5000 1
Se1 Se 0.2446 0.0000 0.7378 1
Se2 Se 0.2466 0.3327 0.7380 1
```

Calculated values
**Magnetization**: 0.00 μB/cell


Density functional theory data (PBE) for crystalline Sr3Pm2SmSe6 at its relaxed geometry.

CIF file:
```
data_Sr3Pm2SmSe6
_chemical_formula_sum 'Sr6 Pm4 Sm2 Se12'
_space_group_name_H-M_alt 'C 1 2/m 1'
_space_group_IT_number 12
_cell_length_a 7.3927
_cell_length_b 12.7915
_cell_length_c 7.5570
_cell_angle_alpha 90.00
_cell_angle_beta 109.05
_cell_angle_gamma 90.00
loop_
_space_group_symop_operation_xyz
'x,y,z'
'-x,-y,-z'
'-x,y,-z'
'x,-y,z'
'x+1/2,y+1/2,z'
'-x+1/2,-y+1/2,-z'
'-x+1/2,y+1/2,-z'
'x+1/2,-y+1/2,z'
loop_
_atom_site_label
_atom_site_type_symbol
_atom_site_fract_x
_atom_site_fract_y
_atom_site_fract_z
_atom_site_occupancy
Sr1 Sr 0.0000 0.0000 0.0000 1
Sr2 Sr 0.0000 0.3329 0.0000 1
Pm1 Pm 0.0000 0.1664 0.5000 1
Sm1 Sm 0.0000 0.5000 0.5000 1
Se1 Se 0.2454 0.3339 0.7384 1
Se2 Se 0.2476 0.0000 0.7388 1
```

Calculated values
**Magnetization**: 0.00 μB/cell


Density functional theory data (PBE) for crystalline TbPmSm2Se5 at its relaxed geometry.

CIF file:
```
data_TbPmSm2Se5
_chemical_formula_sum 'Tb1 Pm1 Sm2 Se5'
_space_group_name_H-M_alt 'P 4/m m m'
_space_group_IT_number 123
_space_group_name_Hall '-P 4 2'
_cell_length_a 5.1678
_cell_length_b 5.1678
_cell_length_c 10.9665
_cell_angle_alpha 90.00
_cell_angle_beta 90.00
_cell_angle_gamma 90.00
loop_
_atom_site_label
_atom_site_type_symbol
_atom_site_fract_x
_atom_site_fract_y
_atom_site_fract_z
_atom_site_occupancy
Tb1 Tb 0.0000 0.0000 0.0000 1
Pm1 Pm 0.0000 0.0000 0.5000 1
Sm1 Sm 0.5000 0.5000 0.1626 1
Se1 Se 0.0000 0.0000 0.2509 1
Se2 Se 0.0000 0.5000 0.0000 1
Se3 Se 0.5000 0.5000 0.5000 1
```

Calculated values
**Magnetization**: 0.00 μB/cell


Density functional theory data (PBE) for crystalline TbPm4SmSe8 at its relaxed geometry.

CIF file:
```
data_TbPm4SmSe8
_chemical_formula_sum 'Tb3 Pm12 Sm3 Se24'
_space_group_name_H-M_alt 'R 3 m'
_space_group_IT_number 160
_space_group_name_Hall 'R 3 -2"'
_cell_length_a 8.6089
_cell_length_b 8.6089
_cell_length_c 21.0706
_cell_angle_alpha 90.00
_cell_angle_beta 90.00
_cell_angle_gamma 120.00
loop_
_atom_site_label
_atom_site_type_symbol
_atom_site_fract_x
_atom_site_fract_y
_atom_site_fract_z
_atom_site_occupancy
Tb1 Tb 0.0000 0.0000 0.0000 1
Pm1 Pm 0.0000 0.0000 0.7504 1
Pm2 Pm 0.0021 0.5011 0.8754 1
Sm1 Sm 0.0000 0.0000 0.3743 1
Se1 Se 0.0000 0.0000 0.1302 1
Se2 Se 0.0000 0.0000 0.6174 1
Se3 Se 0.0222 0.5111 0.1273 1
Se4 Se 0.1741 0.3482 0.9572 1
```

Calculated values
**Magnetization**: 0.00 μB/cell


Density functional theory data (PBE) for crystalline TbPm2SmSe4 at its relaxed geometry.

CIF file:
```
data_TbPm2SmSe4
_chemical_formula_sum 'Tb1 Pm2 Sm1 Se4'
_space_group_name_H-M_alt 'P 1 2/m 1'
_space_group_IT_number 10
_cell_length_a 7.2446
_cell_length_b 4.1158
_cell_length_c 7.2472
_cell_angle_alpha 90.00
_cell_angle_beta 108.87
_cell_angle_gamma 90.00
loop_
_space_group_symop_operation_xyz
'x,y,z'
'-x,-y,-z'
'-x,y,-z'
'x,-y,z'
loop_
_atom_site_label
_atom_site_type_symbol
_atom_site_fract_x
_atom_site_fract_y
_atom_site_fract_z
_atom_site_occupancy
Tb1 Tb 0.0000 0.0000 0.0000 1
Pm1 Pm 0.0000 0.5000 0.5000 1
Pm2 Pm 0.5000 0.0000 0.5000 1
Sm1 Sm 0.5000 0.5000 0.0000 1
Se1 Se 0.2443 0.5000 0.2428 1
Se2 Se 0.2483 0.0000 0.7547 1
```

Calculated values
**Magnetization**: 0.00 μB/cell


Density functional theory data (PBE) for crystalline TbPmSm2Se4 at its relaxed geometry.

CIF file:
```
data_TbPmSm2Se4
_chemical_formula_sum 'Tb1 Pm1 Sm2 Se4'
_space_group_name_H-M_alt 'P 1 2/m 1'
_space_group_IT_number 10
_cell_length_a 7.2136
_cell_length_b 4.1115
_cell_length_c 7.2564
_cell_angle_alpha 90.00
_cell_angle_beta 108.89
_cell_angle_gamma 90.00
loop_
_space_group_symop_operation_xyz
'x,y,z'
'-x,-y,-z'
'-x,y,-z'
'x,-y,z'
loop_
_atom_site_label
_atom_site_type_symbol
_atom_site_fract_x
_atom_site_fract_y
_atom_site_fract_z
_atom_site_occupancy
Tb1 Tb 0.0000 0.0000 0.0000 1
Pm1 Pm 0.0000 0.5000 0.5000 1
Sm1 Sm 0.5000 0.0000 0.5000 1
Sm2 Sm 0.5000 0.5000 0.0000 1
Se1 Se 0.2457 0.5000 0.2443 1
Se2 Se 0.2490 0.0000 0.7540 1
```

Calculated values
**Magnetization**: 0.00 μB/cell


Density functional theory data (PBE) for crystalline Tb3PmSm3Se8 at its relaxed geometry.

CIF file:
```
data_Tb3PmSm3Se8
_chemical_formula_sum 'Tb9 Pm3 Sm9 Se24'
_space_group_name_H-M_alt 'R -3 m'
_space_group_IT_number 166
_space_group_name_Hall '-R 3 2"'
_cell_length_a 8.2426
_cell_length_b 8.2426
_cell_length_c 20.2312
_cell_angle_alpha 90.00
_cell_angle_beta 90.00
_cell_angle_gamma 120.00
loop_
_atom_site_label
_atom_site_type_symbol
_atom_site_fract_x
_atom_site_fract_y
_atom_site_fract_z
_atom_site_occupancy
Tb1 Tb 0.0000 0.5000 0.0000 1
Pm1 Pm 0.0000 0.0000 0.0000 1
Sm1 Sm 0.0000 0.5000 0.5000 1
Se1 Se 0.0000 0.0000 0.2522 1
Se2 Se 0.0111 0.5055 0.2495 1
```

Calculated values
**Magnetization**: 0.00 μB/cell


Density functional theory data (PBE) for crystalline TbPm2SmSe5 at its relaxed geometry.

CIF file:
```
data_TbPm2SmSe5
_chemical_formula_sum 'Tb1 Pm2 Sm1 Se5'
_space_group_name_H-M_alt 'P 4/m m m'
_space_group_IT_number 123
_space_group_name_Hall '-P 4 2'
_cell_length_a 5.1701
_cell_length_b 5.1701
_cell_length_c 10.9327
_cell_angle_alpha 90.00
_cell_angle_beta 90.00
_cell_angle_gamma 90.00
loop_
_atom_site_label
_atom_site_type_symbol
_atom_site_fract_x
_atom_site_fract_y
_atom_site_fract_z
_atom_site_occupancy
Tb1 Tb 0.0000 0.0000 0.0000 1
Pm1 Pm 0.5000 0.5000 0.1659 1
Sm1 Sm 0.0000 0.0000 0.5000 1
Se1 Se 0.0000 0.0000 0.2518 1
Se2 Se 0.0000 0.5000 0.0000 1
Se3 Se 0.5000 0.5000 0.5000 1
```

Calculated values
**Magnetization**: 0.00 μB/cell


Density functional theory data (PBE) for crystalline PmSmTe2Se at its relaxed geometry.

CIF file:
```
data_PmSmTe2Se
_chemical_formula_sum 'Pm2 Sm2 Te4 Se2'
_space_group_name_H-M_alt 'P 4/n m m'
_space_group_IT_number 129
_cell_length_a 4.3893
_cell_length_b 4.3893
_cell_length_c 15.7890
_cell_angle_alpha 90.00
_cell_angle_beta 90.00
_cell_angle_gamma 90.00
loop_
_space_group_symop_operation_xyz
'x,y,z'
'-x,-y,-z'
'-y+1/2,x,z'
'y+1/2,-x,-z'
'-x+1/2,-y+1/2,z'
'x+1/2,y+1/2,-z'
'y,-x+1/2,z'
'-y,x+1/2,-z'
'x+1/2,-y,-z'
'-x+1/2,y,z'
'-y,-x,-z'
'y,x,z'
'-x,y+1/2,-z'
'x,-y+1/2,z'
'y+1/2,x+1/2,-z'
'-y+1/2,-x+1/2,z'
loop_
_atom_site_label
_atom_site_type_symbol
_atom_site_fract_x
_atom_site_fract_y
_atom_site_fract_z
_atom_site_occupancy
Pm1 Pm 0.2500 0.2500 0.1297 1
Sm1 Sm 0.2500 0.2500 0.5915 1
Te1 Te 0.2500 0.2500 0.3888 1
Te2 Te 0.2500 0.2500 0.7928 1
Se1 Se 0.2500 0.7500 0.0000 1
```

Calculated values
**Magnetization**: 0.00 μB/cell


Which raw total energy belongs to each record? In order, -136.88 -42.09 -44.67 -126.22 -126.35 -47.12 -241.34 -47.29 -47.22 -265.67 -47.33 -52.83 eV for the cell shown.
Which density of states at the Fermi level belongs to each record? In order, 11.98 3.52 3.10 9.28 9.28 5.35 26.46 4.85 4.83 19.01 5.60 3.51 states/eV/cell.